# 1
The following is a DFT calculation (PBE) of Tl5BiSb after structural relaxation.

Cell lengths 8.548, 8.548, 8.548 Å; angles 113.74, 113.41, 101.54 degrees
Atoms (fractional coordinates):
Tl 0.000 0.243 0.243
Tl 0.000 0.757 0.757
Tl 0.233 0.483 0.750
Tl 0.286 0.244 0.042
Tl 0.297 0.756 0.542
Tl 0.500 0.243 0.743
Tl 0.500 0.757 0.257
Tl 0.703 0.244 0.458
Tl 0.714 0.756 0.958
Tl 0.767 0.517 0.250
Bi 0.000 0.000 0.500
Bi 0.000 0.500 0.000
Sb 0.220 0.970 0.250
Sb 0.780 0.030 0.750

E_form (uncorrected): 0.0154 eV per atom
volume: 33.864 A^3/atom
ρ: 9.48 Mg/m³


# 2
The following is a DFT calculation (PBE) of Li3TiNb after structural relaxation.

Cell lengths 4.455, 4.455, 4.455 Å; angles 90.00, 90.00, 90.00 degrees
Atoms (fractional coordinates):
Li 0.000 0.000 0.500
Li 0.000 0.500 0.000
Li 0.500 0.000 0.000
Ti 0.000 0.000 0.000
Nb 0.500 0.500 0.500

volume: 17.685 A^3/atom
ρ: 3.03 Mg/m³
ΔH_f (0 K): 1404.0 meV per atom
relative energy among the computed polymorphs: 0 meV/atom


# 3
The following is a DFT calculation (PBE) of CaYTl after structural relaxation.

Cell lengths 4.937, 4.937, 8.089 Å; angles 90.00, 90.00, 90.00 degrees
Atoms (fractional coordinates):
Ca 0.250 0.250 0.141
Ca 0.750 0.750 0.859
Y 0.250 0.750 0.500
Y 0.750 0.250 0.500
Tl 0.250 0.250 0.747
Tl 0.750 0.750 0.253

volume: 32.868 A^3/atom
ρ: 5.61 Mg/m³
ΔH_f (0 K): -250.1 meV per atom
relative energy among the computed polymorphs: 98 meV/atom


# 4
The following is a DFT calculation (PBE) of K2BeInRe after structural relaxation.

Cell lengths 6.692, 6.692, 4.563 Å; angles 90.00, 90.00, 90.00 degrees
Atoms (fractional coordinates):
K 0.000 0.500 0.000
K 0.500 0.000 0.000
Be 0.000 0.000 0.500
In 0.000 0.000 0.000
Re 0.500 0.500 0.500

volume: 40.871 A^3/atom
ρ: 3.15 Mg/m³
ΔH_f (0 K): 1635.1 meV per atom


# 5
The following is a DFT calculation (PBE) of ZnBi2Se after structural relaxation.

Cell lengths 8.407, 8.407, 8.407 Å; angles 136.18, 136.18, 63.71 degrees
Atoms (fractional coordinates):
Zn 0.000 0.000 0.000
Zn 0.750 0.250 0.500
Bi 0.102 0.625 0.977
Bi 0.375 0.352 0.477
Bi 0.648 0.125 0.023
Bi 0.875 0.898 0.523
Se 0.250 0.750 0.500
Se 0.500 0.500 0.000

E_form (uncorrected): 0.1655 eV per atom
volume: 35.137 A^3/atom
ρ: 6.64 Mg/m³
relative energy among the computed polymorphs: 4 meV/atom


# 6
The following is a DFT calculation (PBE) of Rb3Pa3AuSe8 after structural relaxation.

Cell lengths 8.212, 8.212, 9.056 Å; angles 112.71, 112.71, 65.72 degrees
Atoms (fractional coordinates):
Rb 0.000 0.000 0.000
Rb 0.000 0.500 0.000
Rb 0.500 0.000 0.000
Pa 0.000 0.500 0.500
Pa 0.500 0.000 0.500
Pa 0.500 0.500 0.500
Au 0.000 0.000 0.500
Se 0.206 0.206 0.674
Se 0.261 0.681 0.713
Se 0.265 0.265 0.301
Se 0.319 0.739 0.287
Se 0.681 0.261 0.713
Se 0.735 0.735 0.699
Se 0.739 0.319 0.287
Se 0.794 0.794 0.326

E_form (uncorrected): -1.1794 eV per atom
volume: 32.958 A^3/atom
ρ: 5.97 Mg/m³


# 7
The following is a DFT calculation (PBE) of Y2SnCl after structural relaxation.

Cell lengths 10.694, 10.694, 10.694 Å; angles 18.86, 18.86, 18.86 degrees
Atoms (fractional coordinates):
Y 0.097 0.097 0.097
Y 0.903 0.903 0.903
Sn 0.000 0.000 0.000
Cl 0.500 0.500 0.500

E_form (uncorrected): -0.5806 eV per atom
volume: 27.915 A^3/atom
ρ: 4.94 Mg/m³
relative energy among the computed polymorphs: 329 meV/atom


# 8
The following is a DFT calculation (PBE) of CoBi3C after structural relaxation.

Cell lengths 4.910, 4.910, 4.910 Å; angles 90.00, 90.00, 90.00 degrees
Atoms (fractional coordinates):
Co 0.000 0.000 0.000
Bi 0.000 0.500 0.500
Bi 0.500 0.000 0.500
Bi 0.500 0.500 0.000
C 0.500 0.500 0.500

volume: 23.676 A^3/atom
ρ: 9.79 Mg/m³
ΔH_f (0 K): 1341.3 meV per atom
relative energy among the computed polymorphs: 0 meV/atom


# 9
The following is a DFT calculation (PBE) of TaAlOF2 after structural relaxation.

Cell lengths 4.358, 4.358, 3.973 Å; angles 90.00, 90.00, 90.00 degrees
Atoms (fractional coordinates):
Ta 0.000 0.000 0.000
Al 0.500 0.500 0.500
O 0.000 0.000 0.500
F 0.000 0.500 0.000
F 0.500 0.000 0.000

E_form (uncorrected): -1.5942 eV per atom
volume: 15.088 A^3/atom
ρ: 5.77 Mg/m³
relative energy among the computed polymorphs: 0 meV/atom


# 10
The following is a DFT calculation (PBE) of Nd2BeHPd6 after structural relaxation.

Cell lengths 5.873, 5.875, 6.393 Å; angles 63.50, 62.92, 60.26 degrees
Atoms (fractional coordinates):
Nd 0.238 0.240 0.288
Nd 0.762 0.760 0.712
Be 0.500 0.500 0.500
H 0.000 0.000 0.000
Pd 0.237 0.741 0.784
Pd 0.239 0.237 0.785
Pd 0.261 0.764 0.215
Pd 0.739 0.236 0.785
Pd 0.761 0.763 0.215
Pd 0.763 0.259 0.216

electronic total energy: -5.456 eV per atom
volume: 16.345 A^3/atom
ρ: 9.52 Mg/m³


# 11
The following is a DFT calculation (PBE) of Mg2ZnIr after structural relaxation.

Cell lengths 7.554, 7.554, 7.554 Å; angles 157.67, 148.49, 38.97 degrees
Atoms (fractional coordinates):
Mg 0.178 0.178 0.000
Mg 0.822 0.822 0.000
Zn 0.500 0.500 0.000
Ir 0.000 0.000 0.000

volume: 21.363 A^3/atom
ρ: 5.95 Mg/m³
ΔH_f (0 K): 73.6 meV per atom


# 12
The following is a DFT calculation (PBE) of BaBi2TeH after structural relaxation.

Cell lengths 6.582, 6.582, 4.356 Å; angles 90.00, 90.00, 90.00 degrees
Atoms (fractional coordinates):
Ba 0.000 0.000 0.000
Bi 0.000 0.500 0.000
Bi 0.500 0.000 0.000
Te 0.500 0.500 0.500
H 0.000 0.000 0.500

electronic total energy: -2.697 eV per atom
volume: 37.741 A^3/atom
ρ: 6.02 Mg/m³